P | Below is a relaxed Dy4ScAl2 crystal, with properties calculated at the PBE-GGA level.

abc: 5.0418 5.0418 28.5967
angles: 90.00 90.00 120.00
Space group R-3m (No. 166, hexagonal axes)
One atom of each set of equivalent atoms:
Dy  0.0000  0.0000  0.1112 (multiplicity 6)
Dy  0.0000  0.0000  0.2943 (multiplicity 6)
Sc  0.0000  0.0000  0.5000 (multiplicity 3)
Al  0.0000  0.0000  0.4021 (multiplicity 6)

## Properties
Crystal system = trigonal


Q | Below is a relaxed Dy4ScAl2 crystal, with properties calculated at the PBE-GGA level.

abc: 5.1440 5.1440 24.1690
angles: 90.00 90.00 120.00
Space group R-3m (No. 166, hexagonal axes)
One atom of each set of equivalent atoms:
Dy  0.0000  0.0000  0.1035 (multiplicity 6)
Dy  0.0000  0.0000  0.3647 (multiplicity 6)
Sc  0.0000  0.0000  0.5000 (multiplicity 3)
Al  0.0000  0.0000  0.2341 (multiplicity 6)

## Properties
Crystal system = trigonal


Decreasing stability: Q, P


P | Below is a relaxed DySc2Al9 crystal, with properties calculated at the PBE-GGA level.

abc: 5.4436 5.4436 25.9838
angles: 90.00 90.00 120.00
Space group R-3m (No. 166, hexagonal axes)
One atom of each set of equivalent atoms:
Dy  0.0000  0.0000  0.0000 (multiplicity 3)
Sc  0.0000  0.0000  0.1433 (multiplicity 6)
Al  0.0000  0.0000  0.3353 (multiplicity 6)
Al  0.0000  0.0000  0.5000 (multiplicity 3)
Al  0.0074  0.5037  0.9145 (multiplicity 18)

## Properties
Crystal system = trigonal


Q | Below is a relaxed DySc2Al9 crystal, with properties calculated at the PBE-GGA level.

abc: 4.157 4.157 12.448
angles: 90.00 90.00 90.00
Space group P4/mmm (No. 123)
One atom of each set of equivalent atoms:
Dy  0.000  0.000  0.000 (multiplicity 1)
Sc  0.000  0.000  0.337 (multiplicity 2)
Al  0.000  0.500  0.174 (multiplicity 4)
Al  0.000  0.500  0.500 (multiplicity 2)
Al  0.500  0.500  0.000 (multiplicity 1)
Al  0.500  0.500  0.336 (multiplicity 2)

## Properties
Crystal system = tetragonal


Decreasing stability: Q, P